Computed, not measured: crystalline K2Tm2MnS6 at its relaxed geometry at the PBE-GGA level of DFT.

Properties
Crystal system: monoclinic
Energy, eV per formula unit: -61.0
Magnetization, μB/atom: 0.2726
Formation energy from raw total energies, eV/f.u.: -16.0

Cell lengths 6.6163, 11.2945, 7.8549 Å; angles 90.00, 106.94, 90.00 degrees
With the nearest neighbours (Å) after each atom.
Space group C2/m (No. 12)
Unique sites:
K1 0.0000 0.1718 0.0000 (multiplicity 4)  6 S 3.17-3.29
Tm1 0.0000 0.3329 0.5000 (multiplicity 4)  6 S 2.69-2.71
Mn1 0.0000 0.0000 0.5000 (multiplicity 2)  6 S 2.41-2.43
S1 0.2173 0.1507 0.6880 (multiplicity 8)  1 Mn 2.43, 2 Tm 2.69-2.71
S2 0.2342 0.0000 0.3147 (multiplicity 4)  1 Mn 2.41, 2 Tm 2.70